# PBEsol CaCuRu, optimized geometry
data_CaCuRu
_cell_length_a 4.357
_cell_length_b 4.357
_cell_length_c 4.357
_cell_angle_alpha 60.00
_cell_angle_beta 60.00
_cell_angle_gamma 60.00
_symmetry_space_group_name_H-M 'P 1'
_symmetry_Int_Tables_number 1
loop_
_symmetry_equiv_pos_as_xyz
'x,y,z'
loop_
_atom_site_label
_atom_site_fract_x
_atom_site_fract_y
_atom_site_fract_z
Ru1 0.500 0.500 0.500
Ca1 0.250 0.250 0.250
Cu1 0.000 0.000 0.000
# DOS at the Fermi energy: 6.665 states/eV/f.u.
# Size of the total moment: 0.23 μB/atom
# Energy of formation: 1.373 eV/atom
# Final energy: -0.1534 Ha/atom